# 1
5
Lattice="-1.666 1.666 8.695 1.666 -1.666 8.695 1.666 1.666 -8.695" Properties=species:S:1:pos:R:3 comment="Li2TiF2 | the Alexandria database | GGA-PBE | relaxed" vol_a3_per_atom=19.3 e_form_raw_ev_per_atom=-1.57 relative_energy_mev_per_atom=48 pbc="T T T"
Li 1.666 0.000 4.347
Li 0.000 1.666 4.347
Ti 0.000 0.000 0.000
F 0.000 0.000 5.103
F 0.000 0.000 12.287

=====

# 2
10
Lattice="4.381 -6.988 0.000 4.381 6.988 0.000 0.000 0.000 5.468" Properties=species:S:1:pos:R:3 comment="Nd2TlCl7 | the Alexandria database | GGA-PBE | relaxed" vol_a3_per_atom=33.5 e_form_raw_ev_per_atom=-2.01 pbc="T T T"
Nd 4.381 4.225 0.000
Nd 4.381 -4.225 0.000
Tl 4.381 0.000 2.734
Cl 0.000 0.000 0.000
Cl 2.733 1.921 0.000
Cl 4.381 3.986 2.734
Cl 2.733 -1.921 0.000
Cl 6.029 1.921 0.000
Cl 4.381 -3.986 2.734
Cl 6.029 -1.921 0.000

=====

# 3
24
Lattice="-4.277 4.277 6.103 4.277 -4.277 6.103 4.277 4.277 -6.103" Properties=species:S:1:pos:R:3 comment="In2Pd3Pt | the Alexandria database | GGA-PBE | relaxed" vol_a3_per_atom=18.6 relative_energy_mev_per_atom=220 ef_kj_per_mol_atoms=-22.77 pbc="T T T"
In 4.277 0.467 2.702
In 2.605 2.138 0.349
In 5.948 2.138 0.349
In 0.000 0.467 3.400
In 4.277 3.810 2.702
In -1.671 2.138 5.754
In 1.671 2.138 5.754
In 0.000 3.810 3.400
Pd 4.277 0.000 0.000
Pd 1.793 -0.345 1.526
Pd 6.760 -0.345 1.526
Pd 1.793 3.932 -1.526
Pd 2.483 -0.345 4.577
Pd -2.138 2.138 3.051
Pd 0.000 0.000 6.103
Pd 2.138 2.138 3.051
Pd 1.793 4.622 1.526
Pd 2.483 0.345 7.628
Pd -2.483 4.622 4.577
Pd 2.483 4.622 4.577
Pt 4.277 -2.138 3.215
Pt 4.277 -2.138 5.939
Pt 0.000 6.415 0.164
Pt 0.000 6.415 2.888

=====

Magnetization in μB/atom, matching the order above: 0.56; 0.00; 0.00
E in eV per cell, matching the order above: -23.33; -44.96; -114.05